# 1
The following is a DFT calculation (PBE) of a relaxed structure of CaReSiH2.

```
CaReSiH2
1.0
-0.2960 0.5463 -3.9161
2.2200 -4.1715 -0.7498
-3.5000 -1.8634 0.0046
Re Ca Si H
1 1 1 2
direct
0.0000 0.5000 0.0000 Re
0.5000 0.5000 0.5000 Ca
0.0000 0.0000 0.0000 Si
0.0000 0.0000 0.5000 H
0.5000 0.0000 0.0000 H
```

## Properties
Total energy in eV/atom: -4.45
Magnetization in μB per formula unit: 0.6

# 2
The following is a DFT calculation (PBE) of a relaxed structure of CaRe2HW.

```
CaRe2HW
1.0
4.4823 0.0000 0.0000
0.0000 3.5690 0.0000
0.0000 0.0000 4.4823
Re Ca W H
2 1 1 1
direct
0.0000 0.0000 0.5000 Re
0.5000 0.0000 0.0000 Re
0.5000 0.5000 0.5000 Ca
0.0000 0.5000 0.0000 W
0.0000 0.0000 0.0000 H
```

## Properties
Total energy in eV/atom: -7.83
Magnetization in μB per formula unit: 0.0

Which of these has the lowest magnetization?
CaRe2HW